1.
Compound: Sr2Li12Zn3Hg
Source: the Alexandria database
Functional: PBE-GGA
Structure: optimized geometry

Results
Volume: 22.3 Å³/atom
Symmetry: No. 166
Density: 2.71 g/cm3
DFT formation energy: -17 meV/atom

Cell: 7.401 7.401 7.401 Å, 85.05 85.05 85.05°
Fractional positions:
Sr  0.249  0.249  0.249
Sr  0.751  0.751  0.751
Li  0.153  0.578  0.578
Li  0.188  0.188  0.729
Li  0.188  0.729  0.188
Li  0.271  0.812  0.812
Li  0.422  0.422  0.847
Li  0.422  0.847  0.422
Li  0.578  0.153  0.578
Li  0.578  0.578  0.153
Li  0.729  0.188  0.188
Li  0.812  0.271  0.812
Li  0.812  0.812  0.271
Li  0.847  0.422  0.422
Zn  0.000  0.000  0.500
Zn  0.000  0.500  0.000
Zn  0.500  0.000  0.000
Hg  0.000  0.000  0.000



2.
Compound: Mn3TlBr
Source: the Alexandria database
Functional: PBE-GGA
Structure: optimized geometry

Results
Energy above the lowest structure with this stoichiometry: 0 meV per atom
E_form (uncorrected): 4.693 eV/f.u.
Volume: 21.4 Å³/atom
Symmetry: No. 221
Density: 6.97 g/cm3

Cell: 4.748 4.748 4.748 Å, 90.00 90.00 90.00°
Fractional positions:
Mn  0.000  0.000  0.500
Mn  0.000  0.500  0.000
Mn  0.500  0.000  0.000
Tl  0.500  0.500  0.500
Br  0.000  0.000  0.000



3.
Compound: Pr5Ho3Pt12
Source: the Alexandria database
Functional: PBE-GGA
Structure: optimized geometry

Results
Volume: 28.0 Å³/atom
Symmetry: No. 230
Density: 10.50 g/cm3
DFT formation energy: -580 meV/atom

Cell: 14.276 14.276 14.276 Å, 109.47 109.47 109.47°
Fractional positions:
Pr  0.000  0.000  0.000
Pr  0.000  0.000  0.500
Pr  0.000  0.500  0.000
Pr  0.000  0.500  0.500
Pr  0.125  0.750  0.875
Pr  0.125  0.875  0.250
Pr  0.250  0.125  0.875
Pr  0.250  0.625  0.375
Pr  0.375  0.250  0.625
Pr  0.375  0.625  0.750
Pr  0.500  0.000  0.000
Pr  0.500  0.000  0.500
Pr  0.500  0.500  0.000
Pr  0.500  0.500  0.500
Pr  0.625  0.375  0.250
Pr  0.625  0.750  0.375
Pr  0.750  0.375  0.625
Pr  0.750  0.875  0.125
Pr  0.875  0.125  0.750
Pr  0.875  0.250  0.125
Ho  0.125  0.250  0.375
Ho  0.125  0.375  0.750
Ho  0.250  0.375  0.125
Ho  0.250  0.875  0.625
Ho  0.375  0.125  0.250
Ho  0.375  0.750  0.125
Ho  0.625  0.250  0.875
Ho  0.625  0.875  0.750
Ho  0.750  0.125  0.375
Ho  0.750  0.625  0.875
Ho  0.875  0.625  0.250
Ho  0.875  0.750  0.625
Pt  0.076  0.234  0.153
Pt  0.076  0.342  0.923
Pt  0.077  0.653  0.419
Pt  0.077  0.924  0.658
Pt  0.081  0.734  0.658
Pt  0.081  0.847  0.423
Pt  0.153  0.076  0.234
Pt  0.153  0.577  0.919
Pt  0.158  0.234  0.581
Pt  0.158  0.424  0.577
Pt  0.234  0.153  0.076
Pt  0.234  0.581  0.158
Pt  0.266  0.342  0.919
Pt  0.266  0.424  0.347
Pt  0.342  0.919  0.266
Pt  0.342  0.923  0.076
Pt  0.347  0.266  0.424
Pt  0.347  0.581  0.923
Pt  0.419  0.077  0.653
Pt  0.419  0.842  0.766
Pt  0.423  0.081  0.847
Pt  0.423  0.842  0.576
Pt  0.424  0.347  0.266
Pt  0.424  0.577  0.158
Pt  0.576  0.423  0.842
Pt  0.576  0.653  0.734
Pt  0.577  0.158  0.424
Pt  0.577  0.919  0.153
Pt  0.581  0.158  0.234
Pt  0.581  0.923  0.347
Pt  0.653  0.419  0.077
Pt  0.653  0.734  0.576
Pt  0.658  0.077  0.924
Pt  0.658  0.081  0.734
Pt  0.734  0.576  0.653
Pt  0.734  0.658  0.081
Pt  0.766  0.419  0.842
Pt  0.766  0.847  0.924
Pt  0.842  0.576  0.423
Pt  0.842  0.766  0.419
Pt  0.847  0.423  0.081
Pt  0.847  0.924  0.766
Pt  0.919  0.153  0.577
Pt  0.919  0.266  0.342
Pt  0.923  0.076  0.342
Pt  0.923  0.347  0.581
Pt  0.924  0.658  0.077
Pt  0.924  0.766  0.847



4.
Compound: RbAl3Au
Source: the Alexandria database
Functional: PBE-GGA
Structure: optimized geometry

Results
Energy above the lowest structure with this stoichiometry: 1526 meV per atom
Volume: 42.9 Å³/atom
Symmetry: No. 221
Density: 2.81 g/cm3
DFT formation energy: 1793 meV/atom

Cell: 5.986 5.986 5.986 Å, 90.00 90.00 90.00°
Fractional positions:
Rb  0.000  0.000  0.000
Al  0.000  0.000  0.500
Al  0.000  0.500  0.000
Al  0.500  0.000  0.000
Au  0.500  0.500  0.500